## CsMg2Pb2 (PBE)

Data for a geometry-optimized CsMg2Pb2 structure.

Cell lengths 5.177, 5.177, 7.398 Å; angles 69.52, 69.52, 90.00 degrees
Atoms (fractional coordinates):
Pb: 0.377 0.377 0.246
Pb: 0.623 0.623 0.754
Cs: 0.000 0.000 0.000
Mg: 0.750 0.250 0.500
Mg: 0.250 0.750 0.500

Summary:
E above lowest polymorph: 0 meV per atom
energy of formation from the pure elements: -113 meV/atom
size of the total moment: 0.0 μB/f.u.